[1]
# HfHg2Pt2

A relaxed HfHg2Pt2 crystal (GGA-PBE, Alexandria).

Summary:
Its size of the total moment is 0.000 μB per cell. For the density of states at the Fermi level, the calculation gives 4.25 states/eV/cell. For the energy above the lowest structure with this stoichiometry, the calculation gives 0 meV/atom. Its space group is P4/mbm (127). For the calculated density, the calculation gives 16.133 g/cm³.

abc: 6.9630 6.9630 4.1180
angles: 90.00 90.00 90.00
Element x y z (fractional)
Hg 0.8315 0.3315 0.5000
Hg 0.6685 0.8315 0.5000
Hg 0.3315 0.1685 0.5000
Hg 0.1685 0.6685 0.5000
Pt 0.8635 0.6365 0.0000
Pt 0.1365 0.3635 0.0000
Pt 0.3635 0.8635 0.0000
Pt 0.6365 0.1365 0.0000
Hf 0.5000 0.5000 0.0000
Hf 0.0000 0.0000 0.0000

---

[2]
# La7Pr12Dy

A relaxed La7Pr12Dy crystal (GGA-PBE, Alexandria).

Summary:
Its size of the total moment is 0.000 μB per cell. For the density of states at the Fermi level, the calculation gives 30.45 states/eV/cell. The electronic total energy is -4.7476 eV per atom. Its space group is R-3m (166). For the calculated density, the calculation gives 6.480 g/cm³.

abc: 9.1280 9.1280 9.1280
angles: 99.64 99.64 99.64
Element x y z (fractional)
Pr 0.7584 0.5001 0.2415
Pr 0.6484 0.9122 0.6481
Pr 0.7585 0.2416 0.4999
Pr 0.2416 0.4999 0.7585
Pr 0.0878 0.3519 0.3516
Pr 0.2415 0.7584 0.5001
Pr 0.3519 0.3516 0.0878
Pr 0.5001 0.2415 0.7584
Pr 0.6481 0.6484 0.9122
Pr 0.9122 0.6481 0.6484
Pr 0.4999 0.7585 0.2416
Pr 0.3516 0.0878 0.3519
La 0.9103 0.3410 0.9104
La 0.5000 0.5000 0.5000
La 0.9104 0.9103 0.3410
La 0.0897 0.6590 0.0896
La 0.3410 0.9104 0.9103
La 0.6590 0.0896 0.0897
La 0.0896 0.0897 0.6590
Dy 0.0000 0.0000 0.0000

---

[3]
# GdLuPu

A relaxed GdLuPu crystal (GGA-PBE, Alexandria).

Summary:
Its size of the total moment is 1.156 μB per cell. For the density of states at the Fermi level, the calculation gives 7.95 states/eV/cell. For the energy above the lowest structure with this stoichiometry, the calculation gives 0 meV/atom. Its space group is I4mm (107). For the calculated density, the calculation gives 10.883 g/cm³.

abc: 3.4856 3.4856 7.6451
angles: 103.18 103.18 90.00
Element x y z (fractional)
Lu 0.6197 0.6197 0.2394
Gd 0.9484 0.9484 0.8968
Pu 0.2819 0.2819 0.5638

---

[4]
# Ce3TlCo2

A relaxed Ce3TlCo2 crystal (GGA-PBE, Alexandria).

Summary:
Its size of the total moment is 1.466 μB per cell. For the density of states at the Fermi level, the calculation gives 21.17 states/eV/cell. The electronic total energy is -5.8174 eV per atom. Its space group is P6/mmm (191). For the calculated density, the calculation gives 8.519 g/cm³.

abc: 6.8800 7.0620 7.7332
angles: 117.17 116.41 90.00
Element x y z (fractional)
Tl 0.5002 0.2500 0.5000
Tl 0.4998 0.7500 0.5000
Co 0.8332 0.0833 0.1666
Co 0.8334 0.5833 0.1666
Co 0.1668 0.9167 0.8334
Co 0.1666 0.4167 0.8334
Ce 0.0000 0.2500 0.0000
Ce 0.5000 0.7500 0.0000
Ce 0.5000 0.2500 0.0000
Ce 0.0000 0.7500 0.0000
Ce 0.0000 0.0000 0.5000
Ce 0.0000 0.5000 0.5000

---

[5]
# YH4IrPt2

A relaxed YH4IrPt2 crystal (GGA-PBE, Alexandria).

Summary:
Its size of the total moment is 0.000 μB per cell. For the density of states at the Fermi level, the calculation gives 1.93 states/eV/cell. The electronic total energy is -5.4192 eV per atom. Its space group is C2 (5). For the calculated density, the calculation gives 13.009 g/cm³.

abc: 4.5400 4.6202 5.1027
angles: 111.70 111.13 100.77
Element x y z (fractional)
H 0.5328 0.6463 0.6697
H 0.8992 0.4105 0.3662
H 0.1372 0.0236 0.6698
H 0.4669 0.9556 0.3664
Pt 0.1990 0.1990 0.3980
Pt 0.4794 0.9794 0.9589
Y 0.9602 0.4603 0.9206
Ir 0.7123 0.7123 0.4246

---

[6]
# SrCdHg3

A relaxed SrCdHg3 crystal (GGA-PBE, Alexandria).

Summary:
Its size of the total moment is 0.000 μB per cell. For the density of states at the Fermi level, the calculation gives 4.12 states/eV/cell. For the energy above the lowest structure with this stoichiometry, the calculation gives 538 meV/atom. Its space group is Pm-3m (221). For the calculated density, the calculation gives 4.986 g/cm³.

abc: 6.4396 6.4396 6.4396
angles: 90.00 90.00 90.00
Element x y z (fractional)
Sr 0.0000 0.0000 0.0000
Hg 0.0000 0.5000 0.0000
Hg 0.5000 0.0000 0.0000
Hg 0.0000 0.0000 0.5000
Cd 0.5000 0.5000 0.5000

---

Q: Which value of calculated density does entry 4 give?
A: 8.519 g/cm³